A relaxed La2ErBr crystal, computed with PBE-GGA.

## Properties
Uncorrected formation energy (eV/atom): -0.393
ΔE to the lowest computed polymorph (eV per atom): 0.1038
V (Å³ per cell): 128.05
VASP energy (eV/atom): -4.415

a b c (Å): 3.571 3.571 11.776
angles (deg): 81.28 81.28 60.00
Sites, in units of the cell vectors:
La1 0.904 0.904 0.287
La2 0.096 0.096 0.713
Er1 0.000 0.000 0.000
Br1 0.500 0.500 0.500

A relaxed LaEr2Br crystal, computed with PBE-GGA.

## Properties
Uncorrected formation energy (eV/atom): -0.248
V (Å³ per cell): 120.85
VASP energy (eV/atom): -4.180

a b c (Å): 3.481 3.481 11.689
angles (deg): 81.44 81.44 60.00
Sites, in units of the cell vectors:
Er1 0.901 0.901 0.296
Er2 0.099 0.099 0.704
La1 0.000 0.000 0.000
Br1 0.500 0.500 0.500

A relaxed La2ErBr crystal, computed with PBE-GGA.

## Properties
Uncorrected formation energy (eV/atom): -0.496
ΔE to the lowest computed polymorph (eV per atom): 0.0000
V (Å³ per cell): 129.31
VASP energy (eV/atom): -4.519

a b c (Å): 3.643 3.643 9.744
angles (deg): 90.00 90.00 90.00
Sites, in units of the cell vectors:
La1 0.000 0.000 0.734
La2 0.000 0.000 0.266
Er1 0.500 0.500 0.000
Br1 0.500 0.500 0.500

A relaxed LaErBr crystal, computed with PBE-GGA.

## Properties
Uncorrected formation energy (eV/atom): -0.711
ΔE to the lowest computed polymorph (eV per atom): 0.0000
V (Å³ per cell): 187.73
VASP energy (eV/atom): -4.432

a b c (Å): 5.984 5.984 24.382
angles (deg): 27.72 27.72 36.07
Sites, in units of the cell vectors:
Br1 0.530 0.530 0.761
Br2 0.224 0.224 0.546
Er1 0.850 0.850 0.099
Er2 0.903 0.903 0.208
La1 0.058 0.058 0.860
La2 0.695 0.695 0.447

A relaxed La2ErBr2N2 crystal, computed with PBE-GGA.

## Properties
Uncorrected formation energy (eV/atom): -1.521
V (Å³ per cell): 169.42
VASP energy (eV/atom): -6.437

a b c (Å): 4.490 4.490 8.985
angles (deg): 104.47 104.47 90.00
Each line ends with the local moment (μB).
Sites, in units of the cell vectors:
Br1 0.825 0.825 0.650  0.01
Br2 0.175 0.175 0.350  0.01
La1 0.410 0.410 0.820  0.32
La2 0.590 0.590 0.180  0.32
N1 0.500 0.000 0.000  -0.02
N2 0.000 0.500 0.000  -0.02
Er1 0.000 0.000 0.000  0.02

A relaxed La2ErP2Br2 crystal, computed with PBE-GGA.

## Properties
Uncorrected formation energy (eV/atom): -1.445
V (Å³ per cell): 214.08
VASP energy (eV/atom): -5.529

a b c (Å): 5.246 5.246 8.619
angles (deg): 107.72 107.72 90.00
Each line ends with the local moment (μB).
Sites, in units of the cell vectors:
La1 0.395 0.395 0.789  0.27
La2 0.605 0.605 0.211  0.27
Br1 0.191 0.191 0.383  0.01
Br2 0.809 0.809 0.617  0.01
P1 0.500 0.000 0.000  -0.01
P2 0.000 0.500 0.000  -0.01
Er1 0.000 0.000 0.000  0.02

A relaxed LaErRhBr crystal, computed with PBE-GGA.

## Properties
Uncorrected formation energy (eV/atom): -1.118
V (Å³ per cell): 112.00
VASP energy (eV/atom): -5.746

a b c (Å): 4.057 4.057 8.199
angles (deg): 89.99 104.31 120.00
Sites, in units of the cell vectors:
Br1 0.960 0.378 0.353
Er1 0.099 0.947 0.061
La1 0.509 0.153 0.677
Rh1 0.310 0.553 0.878

A relaxed Li3ErBr6 crystal, computed with PBE-GGA.

## Properties
Uncorrected formation energy (eV/atom): -1.617
ΔE to the lowest computed polymorph (eV per atom): 0.0429
V (Å³ per cell): 539.10
VASP energy (eV/atom): -3.651

a b c (Å): 7.026 7.116 10.783
angles (deg): 90.00 90.02 90.00
Sites, in units of the cell vectors:
Li1 0.985 0.523 0.267
Li2 0.515 0.023 0.233
Li3 0.000 0.000 0.500
Li4 0.485 0.977 0.767
Li5 0.500 0.500 0.000
Li6 0.015 0.477 0.733
Br1 0.661 0.172 0.590
Br2 0.661 0.179 0.940
Br3 0.635 0.397 0.263
Br4 0.339 0.828 0.410
Br5 0.865 0.897 0.237
Br6 0.839 0.679 0.560
Br7 0.365 0.603 0.737
Br8 0.161 0.328 0.090
Br9 0.839 0.672 0.910
Br10 0.339 0.821 0.060
Br11 0.161 0.321 0.440
Br12 0.135 0.103 0.763
Er1 0.500 0.500 0.500
Er2 0.000 0.000 0.000

A relaxed Li3ErBr6 crystal, computed with PBE-GGA.

## Properties
Uncorrected formation energy (eV/atom): -1.658
ΔE to the lowest computed polymorph (eV per atom): 0.0025
V (Å³ per cell): 541.32
VASP energy (eV/atom): -3.692

a b c (Å): 6.895 6.895 13.298
angles (deg): 84.86 84.86 119.52
Sites, in units of the cell vectors:
Li1 0.812 0.655 0.501
Li2 0.409 0.591 0.750
Li3 0.345 0.188 0.999
Li4 0.188 0.345 0.499
Li5 0.591 0.409 0.250
Li6 0.655 0.812 0.001
Br1 0.940 0.781 0.120
Br2 0.620 0.135 0.119
Br3 0.292 0.458 0.121
Br4 0.542 0.708 0.379
Br5 0.219 0.060 0.380
Br6 0.708 0.542 0.879
Br7 0.458 0.292 0.621
Br8 0.135 0.620 0.619
Br9 0.380 0.865 0.881
Br10 0.865 0.380 0.381
Br11 0.060 0.219 0.880
Br12 0.781 0.940 0.620
Er1 0.500 0.000 0.500
Er2 0.000 0.500 0.000

A relaxed Li2ErBr4 crystal, computed with PBE-GGA.

## Properties
Uncorrected formation energy (eV/atom): -1.388
V (Å³ per cell): 231.05
VASP energy (eV/atom): -3.543

a b c (Å): 6.722 6.722 6.722
angles (deg): 106.02 106.02 116.62
Each line ends with the local moment (μB).
Sites, in units of the cell vectors:
Li1 0.250 0.750 0.500  0.00
Li2 0.750 0.250 0.500  0.00
Br1 0.187 0.642 0.829  0.01
Br2 0.358 0.187 0.544  0.01
Br3 0.642 0.813 0.456  0.01
Br4 0.813 0.358 0.171  0.01
Er1 0.500 0.500 0.000  0.53

A relaxed Li2ErBr6 crystal, computed with PBE-GGA.

## Properties
Uncorrected formation energy (eV/atom): -1.403
V (Å³ per cell): 520.91
VASP energy (eV/atom): -3.451

a b c (Å): 6.928 6.261 12.008
angles (deg): 90.00 89.52 90.00
Sites, in units of the cell vectors:
Br1 0.844 0.729 0.979
Br2 0.656 0.229 0.521
Br3 0.165 0.188 0.685
Br4 0.667 0.204 0.854
Br5 0.167 0.296 0.354
Br6 0.333 0.796 0.146
Br7 0.833 0.704 0.646
Br8 0.335 0.688 0.815
Br9 0.156 0.271 0.021
Br10 0.835 0.812 0.315
Br11 0.665 0.312 0.185
Br12 0.344 0.771 0.479
Er1 0.500 0.500 0.000
Er2 0.000 0.000 0.500
Li1 0.989 0.466 0.822
Li2 0.011 0.534 0.178
Li3 0.489 0.034 0.322
Li4 0.511 0.966 0.678

A relaxed Li3ErBr6 crystal, computed with PBE-GGA.

## Properties
Uncorrected formation energy (eV/atom): -1.598
ΔE to the lowest computed polymorph (eV per atom): 0.0623
V (Å³ per cell): 342.08
VASP energy (eV/atom): -3.632

a b c (Å): 7.739 7.911 7.912
angles (deg): 60.34 59.75 59.74
Sites, in units of the cell vectors:
Li1 0.500 0.000 0.500
Li2 0.500 0.500 0.000
Li3 0.500 0.500 0.500
Br1 0.741 0.251 0.251
Br2 0.729 0.772 0.266
Br3 0.271 0.228 0.734
Br4 0.259 0.749 0.749
Br5 0.732 0.269 0.770
Br6 0.268 0.731 0.230
Er1 0.000 0.000 0.000

A relaxed LiErBr2 crystal, computed with PBE-GGA.

## Properties
Uncorrected formation energy (eV/atom): -1.182
V (Å³ per cell): 110.70
VASP energy (eV/atom): -3.638

a b c (Å): 3.859 3.859 8.867
angles (deg): 77.43 77.43 60.00
Sites, in units of the cell vectors:
Br1 0.107 0.107 0.678
Br2 0.893 0.893 0.322
Er1 0.000 0.000 0.000
Li1 0.500 0.500 0.500

A relaxed LiErBr4 crystal, computed with PBE-GGA.

## Properties
Uncorrected formation energy (eV/atom): -1.717
ΔE to the lowest computed polymorph (eV per atom): 0.0283
V (Å³ per cell): 405.64
VASP energy (eV/atom): -3.912

a b c (Å): 6.924 6.982 9.750
angles (deg): 104.01 103.78 109.06
Sites, in units of the cell vectors:
Br1 0.830 0.573 0.655
Br2 0.675 0.918 0.345
Br3 0.451 0.711 0.910
Br4 0.549 0.289 0.090
Br5 0.170 0.427 0.345
Br6 0.325 0.082 0.655
Br7 0.958 0.199 0.910
Br8 0.042 0.801 0.090
Er1 0.175 0.925 0.849
Er2 0.825 0.075 0.151
Li1 0.664 0.414 0.828
Li2 0.336 0.586 0.172

A relaxed Li5Er3Br12 crystal, computed with PBE-GGA.

## Properties
Uncorrected formation energy (eV/atom): -1.465
V (Å³ per cell): 2067.42
VASP energy (eV/atom): -3.632

a b c (Å): 13.900 13.900 13.900
angles (deg): 109.47 109.47 109.47
Each line ends with the local moment (μB).
Sites, in units of the cell vectors:
Br1 0.538 0.321 0.911  0.00
Br2 0.038 0.627 0.718  0.00
Br3 0.627 0.038 0.218  0.00
Br4 0.089 0.909 0.127  0.00
Br5 0.127 0.718 0.538  0.00
Br6 0.873 0.282 0.462  0.00
Br7 0.038 0.411 0.821  0.00
Br8 0.909 0.089 0.627  0.00
Br9 0.411 0.373 0.591  0.00
Br10 0.373 0.411 0.091  0.00
Br11 0.679 0.218 0.591  0.00
Br12 0.679 0.462 0.589  0.00
Br13 0.718 0.591 0.179  0.00
Br14 0.782 0.462 0.373  0.00
Br15 0.321 0.538 0.411  0.00
Br16 0.821 0.909 0.282  0.00
Br17 0.462 0.782 0.873  0.00
Br18 0.282 0.873 0.962  0.00
Br19 0.218 0.679 0.091  0.00
Br20 0.821 0.911 0.038  0.00
Br21 0.321 0.782 0.409  0.00
Br22 0.373 0.962 0.782  0.00
Br23 0.091 0.179 0.218  0.00
Br24 0.462 0.679 0.089  0.00
Br25 0.091 0.911 0.373  0.00
Br26 0.179 0.091 0.718  0.00
Br27 0.538 0.218 0.127  0.00
Br28 0.089 0.179 0.462  0.00
Br29 0.782 0.321 0.909  0.00
Br30 0.591 0.873 0.411  0.00
Br31 0.282 0.409 0.821  0.00
Br32 0.591 0.718 0.679  0.00
Br33 0.179 0.089 0.962  0.00
Br34 0.911 0.091 0.873  0.00
Br35 0.127 0.409 0.089  0.00
Br36 0.218 0.538 0.627  0.00
Br37 0.909 0.821 0.782  0.00
Br38 0.962 0.589 0.179  0.00
Br39 0.411 0.038 0.321  0.00
Br40 0.911 0.821 0.538  0.00
Br41 0.962 0.373 0.282  0.00
Br42 0.627 0.589 0.909  0.00
Br43 0.409 0.282 0.321  0.00
Br44 0.409 0.127 0.589  0.00
Br45 0.589 0.627 0.409  0.00
Br46 0.589 0.962 0.679  0.00
Br47 0.873 0.591 0.911  0.00
Br48 0.718 0.127 0.038  0.00
Li1 0.500 0.000 0.000  0.00
Li2 0.250 0.375 0.625  0.00
Li3 0.875 0.250 0.625  0.00
Li4 0.500 0.500 0.000  0.00
Li5 0.125 0.375 0.250  0.00
Li6 0.625 0.750 0.875  0.00
Li7 0.000 0.500 0.000  0.00
Li8 0.375 0.125 0.750  0.00
Li9 0.000 0.500 0.500  0.00
Li10 0.500 0.000 0.500  0.00
Li11 0.500 0.500 0.500  0.00
Li12 0.125 0.750 0.375  0.00
Li13 0.625 0.875 0.250  0.00
Li14 0.750 0.625 0.375  0.00
Li15 0.875 0.625 0.750  0.00
Li16 0.250 0.875 0.125  0.00
Li17 0.375 0.250 0.125  0.00
Li18 0.000 0.000 0.500  0.00
Li19 0.750 0.125 0.875  0.00
Li20 0.000 0.000 0.000  0.00
Er1 0.750 0.375 0.125  0.11
Er2 0.250 0.125 0.375  0.11
Er3 0.750 0.875 0.625  0.11
Er4 0.875 0.125 0.250  0.11
Er5 0.625 0.375 0.750  0.11
Er6 0.375 0.750 0.625  0.11
Er7 0.875 0.750 0.125  0.11
Er8 0.125 0.875 0.750  0.11
Er9 0.125 0.250 0.875  0.11
Er10 0.250 0.625 0.875  0.11
Er11 0.625 0.250 0.375  0.11
Er12 0.375 0.625 0.250  0.11

A relaxed LiErBr4 crystal, computed with PBE-GGA.

## Properties
Uncorrected formation energy (eV/atom): -1.746
ΔE to the lowest computed polymorph (eV per atom): 0.0000
V (Å³ per cell): 197.86
VASP energy (eV/atom): -3.940

a b c (Å): 4.064 6.991 6.987
angles (deg): 94.64 90.00 90.00
Sites, in units of the cell vectors:
Li1 0.500 0.000 0.500
Br1 0.000 0.209 0.684
Br2 0.500 0.232 0.175
Br3 0.500 0.768 0.825
Br4 0.000 0.791 0.316
Er1 0.000 0.000 0.000

A relaxed Li3ErBr6 crystal, computed with PBE-GGA.

## Properties
Uncorrected formation energy (eV/atom): -1.660
ΔE to the lowest computed polymorph (eV per atom): 0.0000
V (Å³ per cell): 272.57
VASP energy (eV/atom): -3.694

a b c (Å): 6.918 6.918 6.954
angles (deg): 80.29 80.29 119.62
Sites, in units of the cell vectors:
Br1 0.066 0.397 0.750
Br2 0.739 0.754 0.764
Br3 0.603 0.934 0.250
Br4 0.420 0.079 0.772
Br5 0.246 0.261 0.236
Br6 0.921 0.580 0.228
Er1 0.002 0.998 0.000
Li1 0.674 0.326 0.000
Li2 0.331 0.669 0.000
Li3 0.845 0.155 0.500

A relaxed LiErMgBr6 crystal, computed with PBE-GGA.

## Properties
Uncorrected formation energy (eV/atom): -1.629
V (Å³ per cell): 526.02
VASP energy (eV/atom): -3.642

a b c (Å): 6.905 6.905 12.738
angles (deg): 90.00 90.00 120.00
Sites, in units of the cell vectors:
Br1 0.350 0.340 0.872
Br2 0.350 0.009 0.628
Br3 0.650 0.991 0.372
Br4 0.009 0.350 0.128
Br5 0.660 0.009 0.872
Br6 0.660 0.650 0.628
Br7 0.650 0.660 0.128
Br8 0.009 0.660 0.372
Br9 0.340 0.991 0.128
Br10 0.340 0.350 0.372
Br11 0.991 0.650 0.872
Br12 0.991 0.340 0.628
Er1 0.333 0.667 0.750
Er2 0.667 0.333 0.250
Li1 0.000 0.000 0.500
Li2 0.000 0.000 0.000
Mg1 0.333 0.667 0.250
Mg2 0.667 0.333 0.750

A relaxed LiErPbBr6 crystal, computed with PBE-GGA.

## Properties
Uncorrected formation energy (eV/atom): -1.459
V (Å³ per cell): 578.17
VASP energy (eV/atom): -3.706

a b c (Å): 7.108 7.108 13.215
angles (deg): 90.00 90.00 120.00
Sites, in units of the cell vectors:
Br1 0.998 0.355 0.631
Br2 0.355 0.358 0.369
Br3 0.355 0.998 0.131
Br4 0.002 0.358 0.131
Br5 0.642 0.998 0.369
Br6 0.002 0.645 0.369
Br7 0.358 0.002 0.631
Br8 0.645 0.002 0.869
Br9 0.358 0.355 0.869
Br10 0.645 0.642 0.631
Br11 0.998 0.642 0.869
Br12 0.642 0.645 0.131
Li1 0.667 0.333 0.750
Li2 0.333 0.667 0.250
Pb1 0.000 0.000 0.500
Pb2 0.000 0.000 0.000
Er1 0.667 0.333 0.250
Er2 0.333 0.667 0.750